(1)
Here is BeHgGe3 at its PBEsol-relaxed geometry from Alexandria. Energies are from meta-GGA SCAN.

Cell lengths 4.528, 4.528, 4.528 Å; angles 90.00, 90.00, 90.00 degrees
Space group Pm-3m (No. 221)
Unique sites:
Be  0.000  0.000  0.000 [1 per cell]
Hg  0.500  0.500  0.500 [1 per cell]
Ge  0.000  0.000  0.500 [3 per cell]

Computed properties:
total energy	-127.2	eV for the cell shown
E_form	0.509	eV/atom
crystal system	cubic

(2)
Here is Ho2Be2GeO7 at its PBEsol-relaxed geometry from Alexandria. Energies are from meta-GGA SCAN.

Cell lengths 7.342, 7.342, 4.755 Å; angles 90.00, 90.00, 90.00 degrees
Space group P-42_1m (No. 113)
Unique sites:
Ho  0.158  0.342  0.494 [4 per cell]
Be  0.136  0.636  0.951 [4 per cell]
Ge  0.000  0.000  0.000 [2 per cell]
O  0.000  0.500  0.810 [2 per cell]
O  0.082  0.829  0.779 [8 per cell]
O  0.142  0.642  0.284 [4 per cell]

Computed properties:
total energy	-414.6	eV for the cell shown
crystal system	tetragonal
uncorrected formation energy	-305	kJ/mol of atoms

(3)
Here is BeGeI2 at its PBEsol-relaxed geometry from Alexandria. Energies are from meta-GGA SCAN.

Cell lengths 7.222, 7.222, 7.222 Å; angles 90.00, 90.00, 90.00 degrees
Space group Fm-3m (No. 225)
Unique sites:
Be  0.000  0.000  0.000 [4 per cell]
Ge  0.000  0.000  0.500 [4 per cell]
I  0.250  0.250  0.250 [8 per cell]

Computed properties:
total energy	-374.5	eV for the cell shown
polymorph energy (0 for the lowest one)	1.20	eV per formula unit
crystal system	cubic
uncorrected formation energy	79	kJ/mol of atoms

(4)
Here is BeGe3I at its PBEsol-relaxed geometry from Alexandria. Energies are from meta-GGA SCAN.

Cell lengths 4.649, 4.649, 4.649 Å; angles 90.00, 90.00, 90.00 degrees
Space group Pm-3m (No. 221)
Unique sites:
Be  0.000  0.000  0.000 [1 per cell]
Ge  0.000  0.000  0.500 [3 per cell]
I  0.500  0.500  0.500 [1 per cell]

Computed properties:
total energy	-95.1	eV for the cell shown
crystal system	cubic
uncorrected formation energy	63	kJ/mol of atoms

(5)
Here is BeGeI2 at its PBEsol-relaxed geometry from Alexandria. Energies are from meta-GGA SCAN.

Cell lengths 7.466, 7.466, 7.221 Å; angles 90.00, 90.00, 90.00 degrees
Space group I-42d (No. 122)
Unique sites:
Be  0.000  0.000  0.000 [4 per cell]
Ge  0.000  0.000  0.500 [4 per cell]
I  0.187  0.750  0.125 [8 per cell]

Computed properties:
total energy	-379.4	eV for the cell shown
polymorph energy (0 for the lowest one)	0.00	eV per formula unit
crystal system	tetragonal
uncorrected formation energy	50	kJ/mol of atoms

(6)
Here is MgBeGe2I at its PBEsol-relaxed geometry from Alexandria. Energies are from meta-GGA SCAN.

Cell lengths 5.112, 5.112, 4.761 Å; angles 90.00, 90.00, 90.00 degrees
Space group P4/mmm (No. 123)
Unique sites:
Mg  0.000  0.000  0.000 [1 per cell]
Be  0.000  0.000  0.500 [1 per cell]
Ge  0.000  0.500  0.000 [2 per cell]
I  0.500  0.500  0.500 [1 per cell]

Computed properties:
total energy	-79.3	eV for the cell shown
crystal system	tetragonal
uncorrected formation energy	95	kJ/mol of atoms

(7)
Here is BeGeTeI2 at its PBEsol-relaxed geometry from Alexandria. Energies are from meta-GGA SCAN.

Cell lengths 5.055, 5.055, 5.142 Å; angles 90.00, 90.00, 90.00 degrees
Space group P4/mmm (No. 123)
Unique sites:
Be  0.000  0.000  0.000 [1 per cell]
Ge  0.500  0.500  0.500 [1 per cell]
Te  0.000  0.000  0.500 [1 per cell]
I  0.000  0.500  0.000 [2 per cell]

Computed properties:
total energy	-132.0	eV for the cell shown
crystal system	tetragonal
uncorrected formation energy	41	kJ/mol of atoms

(8)
Here is BeIn2NiGe at its PBEsol-relaxed geometry from Alexandria. Energies are from meta-GGA SCAN.

Cell lengths 5.216, 5.216, 4.011 Å; angles 90.00, 90.00, 90.00 degrees
Space group P4/mmm (No. 123)
Unique sites:
Be  0.000  0.000  0.000 [1 per cell]
In  0.000  0.500  0.500 [2 per cell]
Ni  0.500  0.500  0.000 [1 per cell]
Ge  0.000  0.000  0.500 [1 per cell]

Computed properties:
total energy	-101.9	eV for the cell shown
E_form	0.903	eV/atom
crystal system	tetragonal